Record 1
Density functional theory data (PBE-GGA) for an optimized crystal structure of KSbMo.

- E_tot: -0.324 Ry per atom
- Density: 4.64 Mg/m³
- SG: No. 216
- Distance to the lowest polymorph of the same formula: 0.409 eV per atom
- Calculated volume: 92 Å³ per cell

The structure in POSCAR format:
```
KSbMo
1.0
0.0000 3.5818 3.5818
3.5818 0.0000 3.5818
3.5818 3.5818 0.0000
K Sb Mo
1 1 1
direct
0.0000 0.0000 0.0000
0.5000 0.5000 0.5000
0.2500 0.2500 0.2500
```

***

Record 2
Density functional theory data (PBE-GGA) for an optimized crystal structure of K2SbMo.

- E_tot: -0.255 Ry per atom
- Density: 4.08 Mg/m³
- SG: No. 10
- Calculated volume: 121 Å³ per cell

The structure in POSCAR format:
```
K2SbMo
1.0
3.6086 0.0000 0.0000
0.0000 5.6268 0.0000
-0.0210 0.0000 5.9366
K Sb Mo
2 1 1
direct
0.0005 0.0000 0.2476
0.9995 0.0000 0.7524
0.5000 0.5000 0.0000
0.5000 0.5000 0.5000
```

***

Record 3
Density functional theory data (PBE-GGA) for an optimized crystal structure of KSbMo.

- E_tot: -0.346 Ry per atom
- Density: 5.63 Mg/m³
- SG: No. 42
- Distance to the lowest polymorph of the same formula: 0.114 eV per atom
- Calculated volume: 76 Å³ per cell

The structure in POSCAR format:
```
KSbMo
1.0
0.0000 2.5272 7.8069
1.9190 0.0000 7.8069
1.9190 2.5272 0.0000
K Sb Mo
1 1 1
direct
0.0000 0.0000 0.0000
0.3068 0.3068 0.6932
0.6863 0.6863 0.3137
```

***

Record 4
Density functional theory data (PBE-GGA) for an optimized crystal structure of KSn2SbMo.

- E_tot: -0.293 Ry per atom
- Density: 4.48 Mg/m³
- SG: No. 123
- Calculated volume: 183 Å³ per cell

The structure in POSCAR format:
```
KSn2SbMo
1.0
5.8943 0.0000 0.0000
0.0000 5.8943 0.0000
0.0000 0.0000 5.2765
K Sn Sb Mo
1 2 1 1
direct
0.0000 0.0000 0.0000
0.0000 0.5000 0.5000
0.5000 0.0000 0.5000
0.5000 0.5000 0.5000
0.5000 0.5000 0.0000
```

***

Record 5
Density functional theory data (PBE-GGA) for an optimized crystal structure of KSb2TeMo.

- E_tot: -0.335 Ry per atom
- Density: 5.31 Mg/m³
- SG: No. 123
- Distance to the lowest polymorph of the same formula: 0.000 eV per atom
- Calculated volume: 158 Å³ per cell

The structure in POSCAR format:
```
KSb2TeMo
1.0
5.2879 0.0000 0.0000
0.0000 5.2879 0.0000
0.0000 0.0000 5.6578
K Sb Te Mo
1 2 1 1
direct
0.0000 0.0000 0.0000
0.0000 0.5000 0.5000
0.5000 0.0000 0.5000
0.5000 0.5000 0.0000
0.5000 0.5000 0.5000
```

***

Record 6
Density functional theory data (PBE-GGA) for an optimized crystal structure of KSb2TeMo.

- E_tot: -0.183 Ry per atom
- Density: 4.89 Mg/m³
- SG: No. 123
- Distance to the lowest polymorph of the same formula: 2.066 eV per atom
- Calculated volume: 172 Å³ per cell

The structure in POSCAR format:
```
KSb2TeMo
1.0
5.5159 0.0000 0.0000
0.0000 5.5159 0.0000
0.0000 0.0000 5.6515
K Sb Te Mo
1 2 1 1
direct
0.0000 0.0000 0.0000
0.0000 0.5000 0.0000
0.5000 0.0000 0.0000
0.0000 0.0000 0.5000
0.5000 0.5000 0.5000
```